[1]
Entry from Alexandria: a relaxed MgTa2Co2 crystal (PBE-GGA).

Summary:
E_form   -11.2 kJ/mol of atoms
Excess energy over the best structure of this formula in the dataset   0 kJ/mol of formula units
Spin magnetization   0.00 Bohr magnetons per cell

Lattice parameters (Å, degrees): 7.1166 7.1166 2.9976 90.00 90.00 90.00
Space group P4/mbm (No. 127)
Unique sites:
Mg: 0.0000 0.0000 0.0000 x2
Ta: 0.1649 0.3351 0.5000 x4
Co: 0.1291 0.6291 0.0000 x4

[2]
Entry from Alexandria: a relaxed BaHf2TiPb crystal (PBE-GGA).

Summary:
E_form   108.6 kJ/mol of atoms
Spin magnetization   0.00 Bohr magnetons per cell

Lattice parameters (Å, degrees): 5.5589 5.5589 5.2949 90.00 90.00 90.00
Space group P4/mmm (No. 123)
Unique sites:
Ba: 0.0000 0.0000 0.0000 x1
Hf: 0.0000 0.5000 0.5000 x2
Ti: 0.5000 0.5000 0.0000 x1
Pb: 0.5000 0.5000 0.5000 x1

[3]
Entry from Alexandria: a relaxed Na3SiS3 crystal (PBE-GGA).

Summary:
Excess energy over the best structure of this formula in the dataset   0 kJ/mol of formula units
E_form (uncorrected)   -0.93 eV per atom
Spin magnetization   0.00 Bohr magnetons per cell

Lattice parameters (Å, degrees): 11.1883 4.3254 12.4415 90.00 90.00 90.00
Space group Pnma (No. 62)
Unique sites:
Na: 0.0626 0.2500 0.1017 x4
Na: 0.1484 0.7500 0.4864 x4
Na: 0.2380 0.7500 0.7866 x4
Si: 0.0610 0.2500 0.6987 x4
S: 0.0161 0.2500 0.3346 x4
S: 0.1046 0.2500 0.8714 x4
S: 0.2346 0.2500 0.6189 x4

[4]
Entry from Alexandria: a relaxed NaLa2InNi crystal (PBE-GGA).

Summary:
E_form   -15.8 kJ/mol of atoms
Spin magnetization   0.00 Bohr magnetons per cell

Lattice parameters (Å, degrees): 5.5091 5.5091 5.0330 90.00 90.00 90.00
Space group P4/mmm (No. 123)
Unique sites:
Na: 0.0000 0.0000 0.0000 x1
La: 0.0000 0.5000 0.5000 x2
In: 0.5000 0.5000 0.0000 x1
Ni: 0.5000 0.5000 0.5000 x1

[5]
Entry from Alexandria: a relaxed Os2AuCl crystal (PBE-GGA).

Summary:
Excess energy over the best structure of this formula in the dataset   323 kJ/mol of formula units
E_form (uncorrected)   1.17 eV per atom
Spin magnetization   0.00 Bohr magnetons per cell

Lattice parameters (Å, degrees): 2.8684 4.1279 5.4236 90.00 102.30 90.00
Space group P2/m (No. 10)
Unique sites:
Os: 0.1410 0.0000 0.2804 x2
Au: 0.5000 0.5000 0.0000 x1
Cl: 0.0000 0.5000 0.5000 x1

[6]
Entry from Alexandria: a relaxed ZrTcTe2S crystal (PBE-GGA).

Summary:
E_form (uncorrected)   0.82 eV per atom
Spin magnetization   2.93 Bohr magnetons per cell

Lattice parameters (Å, degrees): 5.2862 5.2862 4.7140 90.00 90.00 90.00
Space group P4/mmm (No. 123)
Unique sites:
Zr: 0.0000 0.0000 0.0000 x1
Tc: 0.5000 0.5000 0.0000 x1
Te: 0.0000 0.5000 0.5000 x2
S: 0.0000 0.0000 0.5000 x1

[7]
Entry from Alexandria: a relaxed Sc6CuPt5 crystal (PBE-GGA).

Summary:
E_form   -106.0 kJ/mol of atoms
Spin magnetization   0.00 Bohr magnetons per cell

Lattice parameters (Å, degrees): 4.6825 6.5303 14.0787 90.00 90.00 90.00
Space group Immm (No. 71)
Unique sites:
Sc: 0.0000 0.2481 0.0000 x4
Sc: 0.0000 0.2513 0.3343 x8
Cu: 0.0000 0.0000 0.5000 x2
Pt: 0.0000 0.0000 0.1724 x4
Pt: 0.0000 0.5000 0.1614 x4
Pt: 0.0000 0.5000 0.5000 x2

[8]
Entry from Alexandria: a relaxed RbLi2Zr3Se8 crystal (PBE-GGA).

Summary:
E_form (uncorrected)   -1.22 eV per atom
Spin magnetization   0.00 Bohr magnetons per cell

Lattice parameters (Å, degrees): 7.6802 7.6802 27.0988 90.00 90.00 120.00
Space group R3m (No. 160, hexagonal axes)
Unique sites:
Rb: 0.0000 0.0000 0.0000 x3
Li: 0.0000 0.0000 0.1505 x3
Li: 0.0000 0.0000 0.5811 x3
Zr: 0.0022 0.5011 0.1507 x9
Se: 0.0000 0.0000 0.4249 x3
Se: 0.0000 0.0000 0.8760 x3
Se: 0.0012 0.5006 0.8755 x9
Se: 0.0134 0.5067 0.4264 x9